A plane-wave DFT calculation with PBE was carried out for crystalline NdSmOs4C4 at its relaxed geometry.

Structure (extended XYZ):
```
10
Lattice="1.466 -4.521 4.732 -2.639 -5.069 0.942 3.826 -4.072 -0.538" Properties=species:S:1:pos:R:3 pbc="T T T"
C 2.777 -7.476 3.162
C -0.794 -2.768 0.686
Os -0.023 -4.173 2.136
Nd 0.000 0.000 0.000
Sm 1.990 -10.247 3.851
Os 2.016 -6.070 1.711
C 2.121 -4.064 1.881
C -0.123 -6.187 1.973
Os 1.350 -2.658 0.431
Os 0.637 -7.592 3.424
```

Summary:
Total moment ... 0.01 Bohr magnetons per cell
Energy ... -0.333 hartree per atom


A plane-wave DFT calculation with PBE was carried out for crystalline Pm2NdC3 at its relaxed geometry.

Structure (extended XYZ):
```
6
Lattice="-1.104 3.546 0.474 -2.113 -2.368 -1.986 -4.472 -2.413 7.635" Properties=species:S:1:pos:R:3 pbc="T T T"
C 0.000 0.000 0.000
Pm -5.506 -2.409 5.201
C -3.261 -1.198 1.368
Pm -2.182 1.174 0.921
C -4.428 -0.037 4.754
Nd -2.236 -1.206 3.817
```

Summary:
Total moment ... 0.05 Bohr magnetons per cell
Energy ... -0.247 hartree per atom


A plane-wave DFT calculation with PBE was carried out for crystalline PmNd2C3 at its relaxed geometry.

Structure (extended XYZ):
```
6
Lattice="3.755 0.000 0.000 -1.878 3.252 0.000 0.000 0.000 9.199" Properties=species:S:1:pos:R:3 pbc="T T T"
Nd 0.000 2.168 7.660
C 0.000 0.000 0.000
Nd 1.878 1.084 1.539
C 1.878 1.084 6.120
Pm 0.000 0.000 4.599
C 0.000 2.168 3.079
```

Summary:
Total moment ... 0.05 Bohr magnetons per cell
Energy ... -0.246 hartree per atom


A plane-wave DFT calculation with PBE was carried out for crystalline PrNdW2C3 at its relaxed geometry.

Structure (extended XYZ):
```
7
Lattice="6.167 -1.707 0.000 6.167 1.707 0.000 -2.551 0.000 5.359" Properties=species:S:1:pos:R:3 pbc="T T T"
C 12.326 0.000 0.009
Pr 5.416 0.000 4.341
W 8.653 0.000 3.633
C 8.516 0.000 1.476
C 1.276 0.000 3.885
Nd 4.362 0.000 1.004
W 1.132 0.000 1.729
```

Summary:
Total moment ... 0.00 Bohr magnetons per cell
Energy ... -0.338 hartree per atom


A plane-wave DFT calculation with PBE was carried out for crystalline NdPuW2C3 at its relaxed geometry.

Structure (extended XYZ):
```
7
Lattice="6.063 -1.675 0.000 6.063 1.675 0.000 -2.387 0.000 5.297" Properties=species:S:1:pos:R:3 pbc="T T T"
C 8.411 0.000 1.406
C -2.341 0.000 5.257
Pu 5.432 0.000 4.337
W 8.602 0.000 3.570
Nd 4.340 0.000 1.028
W 1.126 0.000 1.719
C 1.262 0.000 3.868
```

Summary:
Total moment ... 4.91 Bohr magnetons per cell
Energy ... -0.387 hartree per atom


A plane-wave DFT calculation with PBE was carried out for crystalline Nd2ReC2 at its relaxed geometry.

Structure (extended XYZ):
```
20
Lattice="-1.557 6.516 -0.481 -1.035 -0.632 -5.212 -9.724 -2.162 2.193" Properties=species:S:1:pos:R:3 pbc="T T T"
Re -4.939 4.081 -0.888
Nd -8.720 4.648 -0.206
C -6.562 3.146 -0.452
Re -2.058 1.290 -1.121
Nd -3.597 -0.927 -3.294
Nd -2.016 5.019 -1.582
Nd -10.300 -1.297 -1.918
Nd -8.641 1.235 0.193
Re -10.259 2.431 -2.378
Nd -3.675 2.487 -3.692
Nd -5.112 0.899 -0.467
C -2.418 4.749 -4.216
Nd -7.205 2.822 -3.032
C -9.496 4.223 -2.747
C -2.820 -0.501 -0.753
C -5.755 0.576 -3.047
Re -7.377 -0.359 -2.612
C -8.876 0.930 -2.471
C -3.440 2.792 -1.029
C -9.899 -1.027 0.717
```

Summary:
Total moment ... 0.00 Bohr magnetons per cell
Energy ... -0.306 hartree per atom


A plane-wave DFT calculation with PBE was carried out for crystalline NdZr4C2S at its relaxed geometry.

Structure (extended XYZ):
```
8
Lattice="-3.097 -0.960 -1.015 2.359 -2.342 0.703 -4.519 -0.320 14.093" Properties=species:S:1:pos:R:3 pbc="T T T"
C -0.777 -1.974 4.239
Nd 0.000 0.000 0.000
Zr -1.702 -0.120 5.309
C -2.661 -2.108 10.115
S -3.538 -1.580 6.604
Zr -2.817 -0.199 8.784
Zr -4.860 -1.674 10.728
Zr -2.215 -1.487 2.480
```

Summary:
Total moment ... 0.41 Bohr magnetons per cell
Energy ... -0.314 hartree per atom


A plane-wave DFT calculation with PBE was carried out for crystalline NdSc4SbC2 at its relaxed geometry.

Structure (extended XYZ):
```
8
Lattice="-3.245 -0.799 -0.582 2.417 -2.353 -0.359 -1.741 -4.141 15.403" Properties=species:S:1:pos:R:3 pbc="T T T"
C -2.707 -4.528 11.435
Sb 0.530 -1.835 -0.434
Sc -0.688 -4.731 10.338
Sc 0.006 -3.080 4.198
Nd -0.870 -2.070 7.701
C -1.749 -2.248 2.952
Sc -1.480 -3.521 13.096
Sc -0.261 -0.620 2.307
```

Summary:
Total moment ... 0.54 Bohr magnetons per cell
Energy ... -0.261 hartree per atom


A plane-wave DFT calculation with PBE was carried out for crystalline NdSc4C2Se at its relaxed geometry.

Structure (extended XYZ):
```
8
Lattice="-1.654 -2.540 -1.647 2.196 -0.744 2.554 -11.205 0.884 9.889" Properties=species:S:1:pos:R:3 pbc="T T T"
C -3.625 -1.684 2.625
Sc -4.195 0.331 3.703
Sc -1.473 -1.154 3.259
Se -4.690 -0.900 6.098
Nd 0.000 0.000 0.000
C -8.321 -1.314 6.770
Sc -7.907 -0.647 8.938
Sc -7.009 0.553 6.186
```

Summary:
Total moment ... 0.83 Bohr magnetons per cell
Energy ... -0.265 hartree per atom


A plane-wave DFT calculation with PBE was carried out for crystalline NdScW2C3 at its relaxed geometry.

Structure (extended XYZ):
```
7
Lattice="-5.577 -1.830 1.784 -3.514 -2.782 4.189 0.950 5.451 1.342" Properties=species:S:1:pos:R:3 pbc="T T T"
C -1.514 2.878 2.437
C 0.893 5.311 1.335
Sc -4.812 1.730 4.812
W -1.092 1.041 1.348
W -7.006 -0.212 5.926
C -6.532 -2.004 4.810
Nd -3.411 -0.776 2.619
```

Summary:
Total moment ... 0.00 Bohr magnetons per cell
Energy ... -0.349 hartree per atom


A plane-wave DFT calculation with PBE was carried out for crystalline TbNdSi2W2C at its relaxed geometry.

Structure (extended XYZ):
```
7
Lattice="5.573 -1.952 0.000 5.573 1.952 0.000 -4.199 0.000 5.891" Properties=species:S:1:pos:R:3 pbc="T T T"
W 1.965 0.000 0.474
Si 8.258 0.000 1.972
W 4.978 0.000 5.406
Si -1.321 0.000 3.939
Tb 1.791 0.000 4.145
C 6.953 0.000 5.849
Nd 5.162 0.000 1.778
```

Summary:
Total moment ... 0.00 Bohr magnetons per cell
Energy ... -0.310 hartree per atom


A plane-wave DFT calculation with PBE was carried out for crystalline NdYSi2W2C at its relaxed geometry.

Structure (extended XYZ):
```
7
Lattice="-0.330 -0.120 -5.890 -3.546 -1.739 -4.384 -1.172 5.961 3.906" Properties=species:S:1:pos:R:3 pbc="T T T"
Y -2.573 0.700 -4.742
Nd -2.459 3.376 -1.620
Si -1.294 3.716 1.232
Si -3.746 0.366 -7.607
C -0.017 0.040 0.006
W -4.152 4.005 -4.560
W -0.902 0.106 -1.812
```

Summary:
Total moment ... 0.01 Bohr magnetons per cell
Energy ... -0.319 hartree per atom